Crystalline CuBPd4 at its relaxed geometry, computed with GGA-PBE.

Unit cell a=6.6793 b=6.6793 c=5.5856 alpha=110.37 beta=110.37 gamma=113.70
Fractional positions:
Cu: 0.1323 0.8677 0.7500
Cu: 0.8677 0.1323 0.2500
B: 0.4189 0.5811 0.2500
B: 0.5811 0.4189 0.7500
Pd: 0.1183 0.5587 0.3045
Pd: 0.2345 0.2954 0.7773
Pd: 0.2954 0.2345 0.2773
Pd: 0.4413 0.8817 0.1955
Pd: 0.5587 0.1183 0.8045
Pd: 0.7046 0.7655 0.7227
Pd: 0.7655 0.7046 0.2227
Pd: 0.8817 0.4413 0.6955

Output
* DFT formation energy: -0.049 eV/atom
* crystal system: monoclinic
* space-group type: C2/c
* Fermi-level density of states: 1.73 states/eV/f.u.
* E above lowest polymorph: 0.49 eV per formula unit